Density functional theory data (PBE) for crystalline YZn2Se at its relaxed geometry.

```
YZn2Se
1.0
-1.972 1.972 5.497
1.972 -1.972 5.497
1.972 1.972 -5.497
Y Zn Se
1 2 1
Cartesian
0.000 0.000 0.000
1.972 0.000 2.748
0.000 1.972 2.748
0.000 0.000 5.497
```

Output
The value obtained for the uncorrected formation energy is -645.5 meV per atom. The spin magnetization is 0.00 μB/cell. The space group is I4/mmm, No. 139. The calculation puts the calculated density at 5.80 g cm⁻³. Its electronic total energy is -3.7696 eV/atom.

Density functional theory data (PBE) for crystalline YTmAlCd at its relaxed geometry.

```
YTmAlCd
1.0
3.624 0.000 0.000
0.000 3.624 0.000
0.000 0.000 7.424
Y Tm Al Cd
1 1 1 1
Cartesian
0.000 0.000 0.000
0.000 0.000 3.872
1.812 1.812 5.612
1.812 1.812 1.995
```

Output
Its energy above the lowest structure with this stoichiometry is 0.0 meV/atom. The spin magnetization is 0.00 μB/cell. The space group is P4mm, No. 99. The calculation puts the calculated density at 6.77 g cm⁻³. Its electronic total energy is -4.2746 eV/atom.

Density functional theory data (PBE) for crystalline SmDy6Al at its relaxed geometry.

```
SmDy6Al
1.0
3.420 -6.032 0.000
3.420 6.032 0.000
-3.258 0.000 6.004
Sm Dy Al
1 6 1
Cartesian
0.000 0.000 0.000
2.406 3.399 1.527
1.176 3.399 4.477
0.810 0.000 4.427
2.771 0.000 1.577
2.406 -3.399 1.527
1.176 -3.399 4.477
-1.629 0.000 3.002
```

Output
The spin magnetization is 0.58 μB/cell. The space group is C2/m, No. 12. The calculation puts the calculated density at 7.72 g cm⁻³. Its electronic total energy is -4.2633 eV/atom.

Density functional theory data (PBE) for crystalline Sm2Dy2Ag3 at its relaxed geometry.

```
Sm2Dy2Ag3
1.0
5.123 0.000 0.000
2.560 4.442 0.000
0.007 2.947 8.407
Sm Dy Ag
2 2 3
Cartesian
1.290 2.215 3.192
6.399 5.175 5.214
3.845 3.700 1.080
3.845 3.689 7.326
1.280 2.221 0.000
3.843 6.653 6.356
3.846 0.736 2.051
```

Output
The spin magnetization is 0.00 μB/cell. The space group is P-1, No. 2. The calculation puts the calculated density at 8.24 g cm⁻³. Its electronic total energy is -4.0295 eV/atom.

Density functional theory data (PBE) for crystalline BaTe2H6O2 at its relaxed geometry.

```
BaTe2H6O2
1.0
5.317 -2.862 0.000
5.317 2.862 0.000
-2.787 0.000 6.437
Ba Te H O
1 2 6 2
Cartesian
0.000 0.000 0.000
0.799 0.000 4.984
7.048 0.000 1.453
2.731 0.857 2.036
3.442 0.000 0.822
2.731 -0.857 2.036
5.115 0.857 4.400
4.404 0.000 5.615
5.115 -0.857 4.400
3.292 0.000 1.876
4.554 0.000 4.561
```

Output
The spin magnetization is 0.00 μB/cell. The space group is C2/m, No. 12. The calculation puts the calculated density at 3.65 g cm⁻³. Its electronic total energy is -4.1655 eV/atom.

Density functional theory data (PBE) for crystalline BaLaZr2V at its relaxed geometry.

```
BaLaZr2V
1.0
5.289 0.000 0.000
0.000 5.289 0.000
0.000 0.000 6.032
Ba La Zr V
1 1 2 1
Cartesian
0.000 0.000 0.000
0.000 0.000 3.016
0.000 2.645 3.016
2.645 0.000 3.016
2.645 2.645 0.000
```

Output
The spin magnetization is 3.76 μB/cell. The space group is P4/mmm, No. 123. The calculation puts the calculated density at 5.01 g cm⁻³. Its electronic total energy is -5.0724 eV/atom.

Density functional theory data (PBE) for crystalline KYNi2 at its relaxed geometry.

```
KYNi2
1.0
3.336 0.000 0.000
0.000 3.336 0.000
0.000 0.000 8.693
K Y Ni
1 1 2
Cartesian
0.000 0.000 0.000
1.668 1.668 4.977
0.000 0.000 3.241
1.668 1.668 2.503
```

Output
Its energy above the lowest structure with this stoichiometry is 216.5 meV/atom. The spin magnetization is 0.00 μB/cell. The space group is P4mm, No. 99. The calculation puts the calculated density at 4.21 g cm⁻³. Its electronic total energy is -4.5323 eV/atom.

Density functional theory data (PBE) for crystalline Pm4ErSe7 at its relaxed geometry.

```
Pm4ErSe7
1.0
6.833 -2.028 0.000
6.833 2.028 0.000
-3.173 0.000 11.975
Pm Er Se
4 1 7
Cartesian
0.000 0.000 0.000
0.140 0.000 9.177
6.800 0.000 4.589
10.302 0.000 6.858
10.104 0.000 1.823
1.394 0.000 2.668
1.420 0.000 6.273
4.994 0.000 0.947
5.503 0.000 7.491
5.672 0.000 11.152
9.086 0.000 9.469
11.514 0.000 4.239
```

Output
The value obtained for the uncorrected formation energy is -1881.3 meV per atom. The spin magnetization is 0.00 μB/cell. The space group is Cm, No. 8. The calculation puts the calculated density at 6.51 g cm⁻³. Its electronic total energy is -5.8777 eV/atom.

Density functional theory data (PBE) for crystalline In3CuMo at its relaxed geometry.

```
In3CuMo
1.0
4.968 0.000 0.000
0.000 4.968 0.000
0.000 0.000 4.968
In Cu Mo
3 1 1
Cartesian
0.000 0.000 2.484
0.000 2.484 0.000
2.484 0.000 0.000
0.000 0.000 0.000
2.484 2.484 2.484
```

Output
Its energy above the lowest structure with this stoichiometry is 0.0 meV/atom. The spin magnetization is 3.74 μB/cell. The space group is Pm-3m, No. 221. The calculation puts the calculated density at 6.83 g cm⁻³. Its electronic total energy is -3.7535 eV/atom.

Density functional theory data (PBE) for crystalline MgWSe2Br at its relaxed geometry.

```
MgWSe2Br
1.0
5.090 0.000 0.000
0.000 5.090 0.000
0.000 0.000 4.820
Mg W Se Br
1 1 2 1
Cartesian
0.000 0.000 0.000
2.545 2.545 2.410
0.000 2.545 0.000
2.545 0.000 0.000
0.000 0.000 2.410
```

Output
The value obtained for the uncorrected formation energy is 804.8 meV per atom. Its energy above the lowest structure with this stoichiometry is 671.3 meV/atom. The spin magnetization is 3.03 μB/cell. The space group is P4/mmm, No. 123. The calculation puts the calculated density at 5.93 g cm⁻³. Its electronic total energy is -3.8331 eV/atom.

Density functional theory data (PBE) for crystalline In3NiP at its relaxed geometry.

```
In3NiP
1.0
4.912 0.000 0.000
0.000 4.912 0.000
0.000 0.000 4.912
In Ni P
3 1 1
Cartesian
0.000 0.000 2.456
0.000 2.456 0.000
2.456 0.000 0.000
0.000 0.000 0.000
2.456 2.456 2.456
```

Output
Its energy above the lowest structure with this stoichiometry is 0.0 meV/atom. The spin magnetization is 0.00 μB/cell. The space group is Pm-3m, No. 221. The calculation puts the calculated density at 6.08 g cm⁻³. Its electronic total energy is -3.6075 eV/atom.

Density functional theory data (PBE) for crystalline ScSb3Pd at its relaxed geometry.

```
ScSb3Pd
1.0
5.211 0.000 0.000
0.000 5.211 0.000
0.000 0.000 5.211
Sc Sb Pd
1 3 1
Cartesian
0.000 0.000 0.000
0.000 2.606 2.606
2.606 0.000 2.606
2.606 2.606 0.000
2.606 2.606 2.606
```

Output
The value obtained for the uncorrected formation energy is 162.3 meV per atom. Its energy above the lowest structure with this stoichiometry is 0.0 meV/atom. The spin magnetization is 0.00 μB/cell. The space group is Pm-3m, No. 221. The calculation puts the calculated density at 6.06 g cm⁻³. Its electronic total energy is -4.6161 eV/atom.

Density functional theory data (PBE) for crystalline BaReTe2 at its relaxed geometry.

```
BaReTe2
1.0
-2.031 3.216 4.770
2.031 -3.216 4.770
2.031 3.216 -4.770
Ba Re Te
1 1 2
Cartesian
0.000 0.000 0.000
0.000 0.000 4.770
2.031 0.000 3.027
0.000 3.216 1.743
```

Output
The value obtained for the uncorrected formation energy is -105.8 meV per atom. Its energy above the lowest structure with this stoichiometry is 169.3 meV/atom. The spin magnetization is 0.95 μB/cell. The space group is Immm, No. 71. The calculation puts the calculated density at 7.71 g cm⁻³. Its electronic total energy is -5.2694 eV/atom.

Density functional theory data (PBE) for crystalline CeCuAg2Se4 at its relaxed geometry.

```
CeCuAg2Se4
1.0
2.023 -6.637 0.000
2.023 6.637 0.000
0.000 0.000 13.373
Ce Cu Ag Se
2 2 4 8
Cartesian
2.023 5.200 10.030
2.023 -5.200 3.343
2.023 4.492 3.343
2.023 -4.492 10.030
2.023 1.671 7.515
2.023 1.671 12.545
2.023 -1.671 0.829
2.023 -1.671 5.858
0.000 0.000 0.000
0.000 0.000 6.687
2.023 2.721 1.631
2.023 2.721 5.055
2.023 0.743 10.030
2.023 -0.743 3.343
2.023 -2.721 8.318
2.023 -2.721 11.742
```

Output
The value obtained for the uncorrected formation energy is -579.4 meV per atom. The spin magnetization is 0.69 μB/cell. The space group is Cmcm, No. 63. The calculation puts the calculated density at 6.80 g cm⁻³. Its electronic total energy is -4.2882 eV/atom.

Density functional theory data (PBE) for crystalline Lu2GaOs at its relaxed geometry.

```
Lu2GaOs
1.0
0.000 3.407 3.407
3.407 0.000 3.407
3.407 3.407 0.000
Lu Ga Os
2 1 1
Cartesian
1.704 1.704 1.704
5.111 5.111 5.111
0.000 0.000 0.000
3.407 3.407 3.407
```

Output
The spin magnetization is 0.00 μB/cell. The space group is Fm-3m, No. 225. The calculation puts the calculated density at 12.80 g cm⁻³. Its electronic total energy is -6.2655 eV/atom.